Crystalline LaErCu2S4 at its relaxed geometry, computed with PBE.

Cell lengths 6.0713, 6.0713, 6.0713 Å; angles 115.44, 111.78, 101.50 degrees
Atoms (fractional coordinates):
La (0.0000, 0.0000, 0.0000)
Er (0.5000, 0.5000, 0.0000)
Cu (0.3313, 0.8313, 0.5000)
Cu (0.6687, 0.1687, 0.5000)
S (0.0898, 0.0593, 0.5462)
S (0.4869, 0.9407, 0.0305)
S (0.5131, 0.5435, 0.4538)
S (0.9102, 0.4565, 0.9695)

The calculation puts the raw formation energy at -1272 meV per atom. The value obtained for the total energy is -44.37 eV per cell. As for the symmetry: I222 (23). For the density, the calculation gives 5497 kg/m³.